Entry 1:
Here is a relaxed structure of TlTcGe2Os from Alexandria via LeMat-Bulk. Energies are from GGA-PBE.

Summary:
The energy comes out at -5.53 eV/atom. As for the magnetization: 3.8 Bohr magnetons per cell. For the density of states at the Fermi level, the calculation gives 3.7 states/eV per cell. As for the formation energy: 5.54 eV/f.u. The space group is P4/mmm.

abc: 4.7222 4.7222 5.3645
angles: 90.00 90.00 90.00
Closest atoms and distances in Å follow each position.
Positions (direct):
Tl (0.0000, 0.0000, 0.0000)  2 Os 2.68
Tc (0.5000, 0.5000, 0.0000)  4 Tl 3.34, 8 Ge 3.57
Ge (0.0000, 0.5000, 0.5000)  2 Os 2.36
Ge (0.5000, 0.0000, 0.5000)  2 Os 2.36
Os (0.0000, 0.0000, 0.5000)  4 Ge 2.36

***

Entry 2:
Here is a relaxed structure of VTcGeOs from Alexandria via LeMat-Bulk. Energies are from GGA-PBE.

Summary:
The energy comes out at -9.06 eV/atom. As for the magnetization: 0.0 Bohr magnetons per cell. For the density of states at the Fermi level, the calculation gives 9.3 states/eV per cell. As for the formation energy: -0.91 eV/f.u. The space group is F-43m.

abc: 6.0629 6.0629 6.0629
angles: 90.00 90.00 90.00
Closest atoms and distances in Å follow each position.
Positions (direct):
V (0.0000, 0.0000, 0.0000)  4 Tc 2.63, 4 Os 2.63
V (0.0000, 0.5000, 0.5000)  4 Tc 2.63, 4 Os 2.63
V (0.5000, 0.0000, 0.5000)  4 Tc 2.63, 4 Os 2.63
V (0.5000, 0.5000, 0.0000)  4 Tc 2.63, 4 Os 2.63
Tc (0.2500, 0.2500, 0.2500)  4 Ge 2.63, 4 V 2.63
Tc (0.2500, 0.7500, 0.7500)  4 Ge 2.63, 4 V 2.63
Tc (0.7500, 0.2500, 0.7500)  4 Ge 2.63, 4 V 2.63
Tc (0.7500, 0.7500, 0.2500)  4 Ge 2.63, 4 V 2.63
Ge (0.0000, 0.0000, 0.5000)  4 Tc 2.63, 4 Os 2.63
Ge (0.0000, 0.5000, 0.0000)  4 Tc 2.63, 4 Os 2.63
Ge (0.5000, 0.0000, 0.0000)  4 Tc 2.63, 4 Os 2.63
Ge (0.5000, 0.5000, 0.5000)  4 Tc 2.63, 4 Os 2.63
Os (0.2500, 0.2500, 0.7500)  4 Ge 2.63, 4 V 2.63
Os (0.2500, 0.7500, 0.2500)  4 Ge 2.63, 4 V 2.63
Os (0.7500, 0.2500, 0.2500)  4 Ge 2.63, 4 V 2.63
Os (0.7500, 0.7500, 0.7500)  4 Ge 2.63, 4 V 2.63

***

Entry 3:
Here is a relaxed structure of VTcGe2Os from Alexandria via LeMat-Bulk. Energies are from GGA-PBE.

Summary:
The energy comes out at -6.60 eV/atom. As for the magnetization: 0.9 Bohr magnetons per cell. For the density of states at the Fermi level, the calculation gives 7.3 states/eV per cell. As for the formation energy: 6.96 eV/f.u. The space group is P4/mmm.

abc: 4.6567 4.6567 4.8614
angles: 90.00 90.00 90.00
Closest atoms and distances in Å follow each position.
Positions (direct):
V (0.0000, 0.0000, 0.0000)  4 Tc 3.29, 8 Ge 3.37
Tc (0.5000, 0.5000, 0.0000)  2 Os 2.43
Ge (0.0000, 0.5000, 0.5000)  2 Os 2.33
Ge (0.5000, 0.0000, 0.5000)  2 Os 2.33
Os (0.5000, 0.5000, 0.5000)  4 Ge 2.33, 2 Tc 2.43

***

Entry 4:
Here is a relaxed structure of GeTeOs2 from Alexandria via LeMat-Bulk. Energies are from GGA-PBE.

Summary:
The energy comes out at -6.70 eV/atom. As for the uncorrected formation energy: 330 kJ/mol of formula units. As for the magnetization: 0.0 Bohr magnetons per cell. As for the relative energy among the computed polymorphs: 183 meV per atom. For the density of states at the Fermi level, the calculation gives 10.1 states/eV per cell. The space group is I-42d.

abc: 5.6934 5.6934 11.4825
angles: 90.00 90.00 90.00
Closest atoms and distances in Å follow each position.
Positions (direct):
Ge (0.0000, 0.0000, 0.0000)  4 Os 2.41
Ge (0.0000, 0.5000, 0.2500)  4 Os 2.41
Ge (0.5000, 0.0000, 0.7500)  4 Os 2.41
Ge (0.5000, 0.5000, 0.5000)  4 Os 2.41
Te (0.0000, 0.0000, 0.5000)  4 Os 2.54
Te (0.0000, 0.5000, 0.7500)  4 Os 2.54
Te (0.5000, 0.0000, 0.2500)  4 Os 2.54
Te (0.5000, 0.5000, 0.0000)  4 Os 2.54
Os (0.2291, 0.2500, 0.1250)  2 Ge 2.41, 2 Te 2.54
Os (0.2500, 0.7291, 0.3750)  2 Ge 2.41, 2 Te 2.54
Os (0.2500, 0.7709, 0.8750)  2 Ge 2.41, 2 Te 2.54
Os (0.2709, 0.2500, 0.6250)  2 Ge 2.41, 2 Te 2.54
Os (0.7291, 0.7500, 0.6250)  2 Ge 2.41, 2 Te 2.54
Os (0.7500, 0.2291, 0.8750)  2 Ge 2.41, 2 Te 2.54
Os (0.7500, 0.2709, 0.3750)  2 Ge 2.41, 2 Te 2.54
Os (0.7709, 0.7500, 0.1250)  2 Ge 2.41, 2 Te 2.54

***

Entry 5:
Here is a relaxed structure of GeTeOs2 from Alexandria via LeMat-Bulk. Energies are from GGA-PBE.

Summary:
The energy comes out at -6.88 eV/atom. As for the uncorrected formation energy: 259 kJ/mol of formula units. As for the magnetization: 0.0 Bohr magnetons per cell. As for the relative energy among the computed polymorphs: 0 meV per atom. For the density of states at the Fermi level, the calculation gives 13.1 states/eV per cell. The space group is Fm-3m.

abc: 6.4044 6.4044 6.4044
angles: 90.00 90.00 90.00
Closest atoms and distances in Å follow each position.
Positions (direct):
Ge (0.0000, 0.0000, 0.0000)  8 Os 2.77
Ge (0.0000, 0.5000, 0.5000)  8 Os 2.77
Ge (0.5000, 0.0000, 0.5000)  8 Os 2.77
Ge (0.5000, 0.5000, 0.0000)  8 Os 2.77
Te (0.0000, 0.0000, 0.5000)  8 Os 2.77
Te (0.0000, 0.5000, 0.0000)  8 Os 2.77
Te (0.5000, 0.0000, 0.0000)  8 Os 2.77
Te (0.5000, 0.5000, 0.5000)  8 Os 2.77
Os (0.2500, 0.2500, 0.2500)  4 Ge 2.77, 4 Te 2.77
Os (0.2500, 0.2500, 0.7500)  4 Ge 2.77, 4 Te 2.77
Os (0.2500, 0.7500, 0.2500)  4 Ge 2.77, 4 Te 2.77
Os (0.2500, 0.7500, 0.7500)  4 Ge 2.77, 4 Te 2.77
Os (0.7500, 0.2500, 0.2500)  4 Ge 2.77, 4 Te 2.77
Os (0.7500, 0.2500, 0.7500)  4 Ge 2.77, 4 Te 2.77
Os (0.7500, 0.7500, 0.2500)  4 Ge 2.77, 4 Te 2.77
Os (0.7500, 0.7500, 0.7500)  4 Te 2.77, 4 Ge 2.77

***

Entry 6:
Here is a relaxed structure of Ge3TeOs from Alexandria via LeMat-Bulk. Energies are from GGA-PBE.

Summary:
The energy comes out at -5.51 eV/atom. As for the uncorrected formation energy: 65 kJ/mol of formula units. As for the magnetization: 0.0 Bohr magnetons per cell. As for the relative energy among the computed polymorphs: 0 meV per atom. For the density of states at the Fermi level, the calculation gives 0.5 states/eV per cell. The space group is Pm-3m.

abc: 4.8544 4.8544 4.8544
angles: 90.00 90.00 90.00
Closest atoms and distances in Å follow each position.
Positions (direct):
Ge (0.0000, 0.0000, 0.5000)  2 Os 2.43
Ge (0.0000, 0.5000, 0.0000)  2 Os 2.43
Ge (0.5000, 0.0000, 0.0000)  2 Os 2.43
Te (0.5000, 0.5000, 0.5000)  12 Ge 3.43
Os (0.0000, 0.0000, 0.0000)  6 Ge 2.43